# 1
ZrPaNiMo: relaxed, PBE.

Results
ΔH_f (0 K) = -0.106 eV/atom
Calculated total energy = -35.08 eV per cell
N(E_F) = 0.80 states/eV per atom
Density = 10.5 Mg/m³
Calculated volume = 75 Å³/cell

a b c (Å): 4.739 4.739 4.739
angles (deg): 60.00 60.00 60.00
Sites, in units of the cell vectors:
Mo  0.750  0.750  0.750
Zr  0.000  0.000  0.000
Pa  0.500  0.500  0.500
Ni  0.250  0.250  0.250


# 2
Ta5V3W12: relaxed, PBE.

Results
ΔH_f (0 K) = 1.674 eV/atom
Calculated total energy = -834.30 eV per cell
N(E_F) = 1.11 states/eV per atom
Density = 13.0 Mg/m³
Calculated volume = 1670 Å³/cell

a b c (Å): 12.944 12.944 12.944
angles (deg): 109.47 109.47 109.47
Sites, in units of the cell vectors:
W  0.836  0.948  0.078
W  0.370  0.448  0.112
Ta  0.375  0.125  0.750
W  0.112  0.948  0.370
Ta  0.250  0.375  0.625
W  0.130  0.742  0.578
W  0.388  0.258  0.336
W  0.164  0.052  0.922
Ta  0.500  0.000  0.500
W  0.164  0.112  0.742
V  0.125  0.875  0.750
W  0.630  0.552  0.888
W  0.888  0.836  0.758
V  0.250  0.125  0.375
W  0.052  0.888  0.130
W  0.078  0.448  0.836
W  0.258  0.870  0.922
V  0.250  0.625  0.875
W  0.742  0.612  0.164
W  0.052  0.164  0.422
Ta  0.500  0.000  0.000
Ta  0.875  0.250  0.625
W  0.552  0.630  0.388
Ta  0.750  0.125  0.875
W  0.742  0.130  0.078
V  0.750  0.875  0.625
W  0.552  0.922  0.664
Ta  0.500  0.500  0.000
W  0.130  0.388  0.052
W  0.922  0.370  0.258
Ta  0.625  0.875  0.250
Ta  0.625  0.750  0.875
W  0.112  0.164  0.242
W  0.922  0.552  0.164
V  0.125  0.250  0.875
Ta  0.125  0.750  0.375
W  0.612  0.742  0.664
Ta  0.750  0.625  0.375
Ta  0.875  0.625  0.750
W  0.336  0.578  0.448
W  0.630  0.078  0.242
W  0.664  0.242  0.612
V  0.625  0.250  0.375
V  0.750  0.375  0.125
V  0.875  0.750  0.125
W  0.578  0.242  0.130
W  0.948  0.836  0.578
W  0.664  0.422  0.552
W  0.388  0.130  0.552
W  0.870  0.612  0.948
W  0.422  0.758  0.870
W  0.242  0.664  0.112
W  0.448  0.078  0.336
V  0.875  0.125  0.250
V  0.375  0.750  0.625
W  0.888  0.052  0.630
Ta  0.250  0.875  0.125
W  0.370  0.922  0.758
W  0.758  0.336  0.888
Ta  0.000  0.500  0.500
Ta  0.000  0.000  0.000
W  0.336  0.758  0.388
W  0.612  0.870  0.448
Ta  0.375  0.250  0.125
W  0.448  0.370  0.612
W  0.242  0.578  0.630
W  0.870  0.258  0.422
W  0.422  0.664  0.052
V  0.625  0.375  0.750
Ta  0.000  0.000  0.500
W  0.078  0.630  0.742
W  0.948  0.112  0.870
Ta  0.000  0.500  0.000
W  0.578  0.336  0.948
W  0.836  0.888  0.258
W  0.758  0.422  0.370
W  0.258  0.388  0.836
V  0.375  0.625  0.250
Ta  0.125  0.375  0.250
Ta  0.500  0.500  0.500


# 3
Nd2ZnAg: relaxed, PBE.

Results
ΔH_f (0 K) = -0.273 eV/atom
Calculated total energy = -14.75 eV per cell
Energy relative to the lowest polymorph listed for this composition = 18.2 meV/atom
N(E_F) = 0.98 states/eV per atom
Density = 7.4 Mg/m³
Calculated volume = 104 Å³/cell

a b c (Å): 5.272 5.272 5.272
angles (deg): 60.00 60.00 60.00
Sites, in units of the cell vectors:
Zn  0.000  0.000  0.000
Ag  0.500  0.500  0.500
Nd  0.750  0.750  0.750
Nd  0.250  0.250  0.250


# 4
PmEuSiPb: relaxed, PBE.

Results
Formation energy (no corrections) = -32.6 kJ per mole of atoms
Calculated total energy = -25.51 eV per cell
N(E_F) = 0.65 states/eV per atom
Density = 8.0 Mg/m³
Calculated volume = 110 Å³/cell

a b c (Å): 5.382 5.382 5.382
angles (deg): 60.00 60.00 60.00
Last column: magnetic moment on the atom in μB.
Sites, in units of the cell vectors:
Pm  0.750  0.750  0.750  -0.02
Si  0.000  0.000  0.000  0.01
Pb  0.500  0.500  0.500  0.01
Eu  0.250  0.250  0.250  -6.78